[1]
Below is an optimized crystal structure of Pu3V5Te12, with properties calculated at the GGA-PBE level.

It has space group Ia-3d (No. 230), with a = 16.9581 Å, b = 16.9581 Å, c = 16.9581 Å, α = 90.00°, β = 90.00° and γ = 90.00°. The inequivalent atoms are Pu at (0.0000, 0.2500, 0.1250), V at (0.0000, 0.0000, 0.0000), V at (0.0000, 0.2500, 0.3750) and Te at (0.0299, 0.0619, 0.6482).

The value obtained for the size of the total moment is 200.00 μB/cell. Its uncorrected formation energy is -0.43 eV/atom.

---

[2]
Below is an optimized crystal structure of CePuIr4, with properties calculated at the GGA-PBE level.

It has space group F-43m (No. 216), with a = 7.6109 Å, b = 7.6109 Å, c = 7.6109 Å, α = 90.00°, β = 90.00° and γ = 90.00°. The inequivalent atoms are Ce at (0.0000, 0.0000, 0.0000), Pu at (0.2500, 0.2500, 0.2500) and Ir at (0.1247, 0.1247, 0.6247).

As for the formation enthalpy at 0 K: -65.5 kJ per mole of atoms. The value obtained for the size of the total moment is 21.84 μB/cell.

---

[3]
Below is an optimized crystal structure of Tm2Pa2Fe3, with properties calculated at the GGA-PBE level.

It has space group C2/m (No. 12), with a = 13.2814 Å, b = 3.6142 Å, c = 6.0291 Å, α = 90.00°, β = 93.71° and γ = 90.00°. The inequivalent atoms are Tm at (0.1464, 0.0000, 0.3514), Pa at (0.1029, 0.5000, 0.8338), Fe at (0.0000, 0.5000, 0.5000) and Fe at (0.2169, 0.0000, 0.8633).

As for the formation enthalpy at 0 K: -12.3 kJ per mole of atoms. The value obtained for the size of the total moment is 0.00 μB/cell.

---

[4]
Below is an optimized crystal structure of Sm5Ho6, with properties calculated at the GGA-PBE level.

It has space group Immm (No. 71), with a = 5.5629 Å, b = 8.1247 Å, c = 16.0081 Å, α = 90.00°, β = 90.00° and γ = 90.00°. The inequivalent atoms are Sm at (0.0000, 0.0000, 0.0000), Sm at (0.0000, 0.0000, 0.3007), Sm at (0.0000, 0.5000, 0.3378), Ho at (0.0000, 0.2060, 0.5000) and Ho at (0.0000, 0.2942, 0.1368).

As for the formation enthalpy at 0 K: 11.2 kJ per mole of atoms. The value obtained for the size of the total moment is 0.00 μB/cell.

---

[5]
Below is an optimized crystal structure of Ca6AlHg, with properties calculated at the GGA-PBE level.

It has space group I4/mmm (No. 139), with a = 5.4220 Å, b = 5.4220 Å, c = 18.6536 Å, α = 90.00°, β = 90.00° and γ = 90.00°. The inequivalent atoms are Ca at (0.0000, 0.0000, 0.2477), Ca at (0.0000, 0.5000, 0.0964), Al at (0.0000, 0.0000, 0.0000) and Hg at (0.0000, 0.0000, 0.5000).

As for the formation enthalpy at 0 K: -18.6 kJ per mole of atoms. The value obtained for the size of the total moment is 0.00 μB/cell.

---

[6]
Below is an optimized crystal structure of SrNbBr2, with properties calculated at the GGA-PBE level.

It has space group Fm-3m (No. 225), with a = 7.2212 Å, b = 7.2212 Å, c = 7.2212 Å, α = 90.00°, β = 90.00° and γ = 90.00°. The inequivalent atoms are Sr at (0.0000, 0.0000, 0.0000), Nb at (0.0000, 0.0000, 0.5000) and Br at (0.2500, 0.2500, 0.2500).

The value obtained for the size of the total moment is 3.87 μB/cell. Its uncorrected formation energy is -0.12 eV/atom.

---

Volume
In order: 4876.8 440.9 288.8 723.5 548.4 376.6
Unit: Å³/cell
Density of states at the Fermi level
In order: 2.12 2.19 0.74 1.45 0.75 0.68
Unit: states/eV per atom